(1)
# Mg2BeF2 PBE relaxed
# E (eV/atom): -3.3995
# Total magnetization (μB per atom): 0.00
# Relative energy among the computed polymorphs (meV/atom): 42.1
data_Mg2BeF2
_space_group_name_H-M_alt 'P 4/m b m'
_space_group_IT_number 127
_space_group_name_Hall '-P 4 2ab'
_cell_length_a 7.5713
_cell_length_b 7.5713
_cell_length_c 2.9526
_cell_angle_alpha 90.00
_cell_angle_beta 90.00
_cell_angle_gamma 90.00
loop_
_atom_site_label
_atom_site_fract_x
_atom_site_fract_y
_atom_site_fract_z
Mg1 0.2296 0.2704 0.0000
Be1 0.0000 0.0000 0.5000
F1 0.1191 0.3809 0.5000


(2)
# ScCr2C PBE relaxed
# E (eV/atom): -8.0431
# Total magnetization (μB per atom): 0.00
# Formation energy from the elements (kJ per mole of atoms): 63
data_ScCr2C
_space_group_name_H-M_alt 'I 41/a m d'
_space_group_IT_number 141
_cell_length_a 5.7436
_cell_length_b 5.7436
_cell_length_c 8.1028
_cell_angle_alpha 90.00
_cell_angle_beta 90.00
_cell_angle_gamma 90.00
loop_
_space_group_symop_operation_xyz
'x,y,z'
'-x,-y,-z'
'-y+1/4,x+3/4,z+1/4'
'y+1/4,-x+3/4,-z+1/4'
'-x+1/2,-y,z+1/2'
'x+1/2,y,-z+1/2'
'y+1/4,-x+1/4,z+3/4'
'-y+1/4,x+1/4,-z+3/4'
'x,-y,-z'
'-x,y,z'
'-y+1/4,-x+1/4,-z+3/4'
'y+1/4,x+1/4,z+3/4'
'-x+1/2,y,-z+1/2'
'x+1/2,-y,z+1/2'
'y+1/4,x+3/4,-z+1/4'
'-y+1/4,-x+3/4,z+1/4'
'x+1/2,y+1/2,z+1/2'
'-x+1/2,-y+1/2,-z+1/2'
'-y+3/4,x+1/4,z+3/4'
'y+3/4,-x+1/4,-z+3/4'
'-x,-y+1/2,z'
'x,y+1/2,-z'
'y+3/4,-x+3/4,z+1/4'
'-y+3/4,x+3/4,-z+1/4'
'x+1/2,-y+1/2,-z+1/2'
'-x+1/2,y+1/2,z+1/2'
'-y+3/4,-x+3/4,-z+1/4'
'y+3/4,x+3/4,z+1/4'
'-x,y+1/2,-z'
'x,-y+1/2,z'
'y+3/4,x+1/4,-z+3/4'
'-y+3/4,-x+1/4,z+3/4'
loop_
_atom_site_label
_atom_site_fract_x
_atom_site_fract_y
_atom_site_fract_z
Sc1 0.0000 0.2500 0.3750
Cr1 0.0000 0.0000 0.0000
C1 0.0000 0.2500 0.8750


(3)
# LiPaVSn PBE relaxed
# E (eV/atom): -6.0727
# Total magnetization (μB per atom): 0.07
# Formation energy from the elements (kJ per mole of atoms): 6
data_LiPaVSn
_space_group_name_H-M_alt 'F -4 3 m'
_space_group_IT_number 216
_space_group_name_Hall 'F -4 2 3'
_cell_length_a 6.6728
_cell_length_b 6.6728
_cell_length_c 6.6728
_cell_angle_alpha 90.00
_cell_angle_beta 90.00
_cell_angle_gamma 90.00
loop_
_atom_site_label
_atom_site_fract_x
_atom_site_fract_y
_atom_site_fract_z
Li1 0.0000 0.0000 0.0000
Pa1 0.2500 0.2500 0.7500
V1 0.0000 0.0000 0.5000
Sn1 0.2500 0.2500 0.2500


(4)
# SmPuAs2Pd2 PBE relaxed
# E (eV/atom): -7.4551
# Total magnetization (μB per atom): 0.85
# Formation energy from the elements (kJ per mole of atoms): -96
data_SmPuAs2Pd2
_space_group_name_H-M_alt 'P -3 m 1'
_space_group_IT_number 164
_space_group_name_Hall '-P 3 2"'
_cell_length_a 4.3587
_cell_length_b 4.3587
_cell_length_c 7.6537
_cell_angle_alpha 90.00
_cell_angle_beta 90.00
_cell_angle_gamma 120.00
loop_
_atom_site_label
_atom_site_fract_x
_atom_site_fract_y
_atom_site_fract_z
Sm1 0.0000 0.0000 0.0000
Pu1 0.0000 0.0000 0.5000
As1 0.3333 0.6667 0.7390
Pd1 0.3333 0.6667 0.2422


(5)
# Ca2ReSb PBE relaxed
# E (eV/atom): -4.7638
# Total magnetization (μB per atom): 0.05
data_Ca2ReSb
_space_group_name_H-M_alt 'I -4 2 d'
_space_group_IT_number 122
_space_group_name_Hall 'I -4 2bw'
_cell_length_a 10.7093
_cell_length_b 10.7093
_cell_length_c 5.1076
_cell_angle_alpha 90.00
_cell_angle_beta 90.00
_cell_angle_gamma 90.00
loop_
_atom_site_label
_atom_site_fract_x
_atom_site_fract_y
_atom_site_fract_z
Ca1 0.0727 0.2500 0.1250
Re1 0.0000 0.0000 0.0000
Sb1 0.0000 0.0000 0.5000


(6)
# Nb2RuW6 PBE relaxed
# E (eV/atom): -11.4417
# Total magnetization (μB per atom): 0.00
# Formation energy from the elements (kJ per mole of atoms): 45
data_Nb2RuW6
_space_group_name_H-M_alt 'P -1'
_space_group_IT_number 2
_cell_length_a 4.5864
_cell_length_b 5.4041
_cell_length_c 6.8485
_cell_angle_alpha 80.10
_cell_angle_beta 70.51
_cell_angle_gamma 89.84
loop_
_space_group_symop_operation_xyz
'x,y,z'
'-x,-y,-z'
loop_
_atom_site_label
_atom_site_fract_x
_atom_site_fract_y
_atom_site_fract_z
Nb1 0.1030 0.4833 0.2945
Ru1 0.0000 0.0000 0.5000
W1 0.2922 0.3397 0.9157
W2 0.3053 0.8610 0.8863
W3 0.4962 0.2535 0.5077